HfSnPO2 (PBE, optimized geometry); E = -6.469 eV/atom; magnetization = 0.00 μB per formula unit
1.0
3.944 0.000 0.000
0.000 3.944 0.000
0.000 0.000 5.316
Hf Sn P O
1 1 1 2
direct
0.000 0.000 0.000 Hf
0.500 0.500 0.500 Sn
0.500 0.500 0.000 P
0.000 0.500 0.500 O
0.500 0.000 0.500 O

***

SrHfP2O (PBE, optimized geometry); E = -6.738 eV/atom; magnetization = 1.06 μB per formula unit
1.0
5.203 0.000 0.000
0.000 5.203 0.000
0.000 0.000 4.043
Sr Hf P O
1 1 2 1
direct
0.000 0.000 0.000 Sr
0.500 0.500 0.500 Hf
0.000 0.500 0.500 P
0.500 0.000 0.500 P
0.500 0.500 0.000 O

***

SrHfP2O (PBE, optimized geometry); E = -4.889 eV/atom; magnetization = 0.00 μB per formula unit
1.0
5.229 0.000 0.000
0.000 5.229 0.000
0.000 0.000 4.160
Sr Hf P O
1 1 2 1
direct
0.000 0.000 0.000 Sr
0.500 0.500 0.500 Hf
0.000 0.500 0.000 P
0.500 0.000 0.000 P
0.000 0.000 0.500 O

***

The ρ results, record by record, are as follows: 7.233; 5.220; 5.024 g/cm3.
The ΔE_f (raw) results, record by record, are as follows: -0.612; -1.256; 0.593 eV per atom.